Record 1
# PBE LaAlCuPd, relaxed
# N(E_F) (states/eV per cell): 13.592
# Relative energy among the computed polymorphs (meV per atom): 169.9
data_LaAlCuPd
_space_group_name_H-M_alt 'F -4 3 m'
_space_group_IT_number 216
_space_group_name_Hall 'F -4 2 3'
_cell_length_a 6.8149
_cell_length_b 6.8149
_cell_length_c 6.8149
_cell_angle_alpha 90.00
_cell_angle_beta 90.00
_cell_angle_gamma 90.00
loop_
_atom_site_label
_atom_site_fract_x
_atom_site_fract_y
_atom_site_fract_z
La1 0.0000 0.0000 0.0000
Al1 0.0000 0.0000 0.5000
Cu1 0.2500 0.2500 0.7500
Pd1 0.2500 0.2500 0.2500

---

Record 2
# PBE LaPmAlCu, relaxed
# N(E_F) (states/eV per cell): 18.119
# E (eV for the cell shown): -73.43
data_LaPmAlCu
_space_group_name_H-M_alt 'F -4 3 m'
_space_group_IT_number 216
_space_group_name_Hall 'F -4 2 3'
_cell_length_a 7.4153
_cell_length_b 7.4153
_cell_length_c 7.4153
_cell_angle_alpha 90.00
_cell_angle_beta 90.00
_cell_angle_gamma 90.00
loop_
_atom_site_label
_atom_site_fract_x
_atom_site_fract_y
_atom_site_fract_z
La1 0.0000 0.0000 0.0000
Pm1 0.0000 0.0000 0.5000
Al1 0.2500 0.2500 0.2500
Cu1 0.2500 0.2500 0.7500

---

Record 3
# PBE La2Pr2Al4Cu, relaxed
# N(E_F) (states/eV per cell): 17.247
# E (eV for the cell shown): -81.02
data_La2Pr2Al4Cu
_space_group_name_H-M_alt 'I 4/m m m'
_space_group_IT_number 139
_space_group_name_Hall '-I 4 2'
_cell_length_a 7.2486
_cell_length_b 7.2486
_cell_length_c 8.9375
_cell_angle_alpha 90.00
_cell_angle_beta 90.00
_cell_angle_gamma 90.00
loop_
_atom_site_label
_atom_site_fract_x
_atom_site_fract_y
_atom_site_fract_z
La1 0.0000 0.5000 0.2500
Pr1 0.0000 0.0000 0.1855
Al1 0.2299 0.2299 0.5000
Cu1 0.0000 0.0000 0.5000

---

Record 4
# PBE La2Al3Cu12Pt, relaxed
# N(E_F) (states/eV per cell): 27.293
# E (eV for the cell shown): -228.22
data_La2Al3Cu12Pt
_space_group_name_H-M_alt 'R -3 m'
_space_group_IT_number 166
_space_group_name_Hall '-R 3 2"'
_cell_length_a 6.1501
_cell_length_b 6.1501
_cell_length_c 27.8403
_cell_angle_alpha 90.00
_cell_angle_beta 90.00
_cell_angle_gamma 120.00
loop_
_atom_site_label
_atom_site_fract_x
_atom_site_fract_y
_atom_site_fract_z
La1 0.0000 0.0000 0.1514
Al1 0.0000 0.5000 0.0000
Cu1 0.0512 0.5256 0.0933
Cu2 0.0735 0.5367 0.6184
Pt1 0.0000 0.0000 0.5000

---

Record 5
# PBE La2Al3CuPt12, relaxed
# N(E_F) (states/eV per cell): 26.127
# E (eV for the cell shown): -319.64
data_La2Al3CuPt12
_space_group_name_H-M_alt 'R -3 m'
_space_group_IT_number 166
_space_group_name_Hall '-R 3 2"'
_cell_length_a 8.0963
_cell_length_b 8.0963
_cell_length_c 19.2103
_cell_angle_alpha 90.00
_cell_angle_beta 90.00
_cell_angle_gamma 120.00
loop_
_atom_site_label
_atom_site_fract_x
_atom_site_fract_y
_atom_site_fract_z
La1 0.0000 0.0000 0.1270
Al1 0.0000 0.5000 0.0000
Cu1 0.0000 0.0000 0.5000
Pt1 0.0011 0.5005 0.8736
Pt2 0.0022 0.5011 0.3748

---

Record 6
# PBE LaAlCu2Pt4, relaxed
# N(E_F) (states/eV per cell): 8.460
# E (eV for the cell shown): -139.31
data_LaAlCu2Pt4
_space_group_name_H-M_alt 'R -3 m'
_space_group_IT_number 166
_space_group_name_Hall '-R 3 2"'
_cell_length_a 4.3185
_cell_length_b 4.3185
_cell_length_c 25.6167
_cell_angle_alpha 90.00
_cell_angle_beta 90.00
_cell_angle_gamma 120.00
loop_
_atom_site_label
_atom_site_fract_x
_atom_site_fract_y
_atom_site_fract_z
La1 0.0000 0.0000 0.0000
Al1 0.0000 0.0000 0.5000
Cu1 0.0000 0.0000 0.2426
Pt1 0.0000 0.0000 0.1326
Pt2 0.0000 0.0000 0.4038

---

Record 7
# PBE LaAl2CuPt4, relaxed
# N(E_F) (states/eV per cell): 14.467
# E (eV for the cell shown): -143.66
data_LaAl2CuPt4
_space_group_name_H-M_alt 'R -3 m'
_space_group_IT_number 166
_space_group_name_Hall '-R 3 2"'
_cell_length_a 4.2726
_cell_length_b 4.2726
_cell_length_c 26.8746
_cell_angle_alpha 90.00
_cell_angle_beta 90.00
_cell_angle_gamma 120.00
loop_
_atom_site_label
_atom_site_fract_x
_atom_site_fract_y
_atom_site_fract_z
La1 0.0000 0.0000 0.0000
Al1 0.0000 0.0000 0.2334
Cu1 0.0000 0.0000 0.5000
Pt1 0.0000 0.0000 0.1326
Pt2 0.0000 0.0000 0.4046

---

Record 8
# PBE LaAlCuPt3, relaxed
# N(E_F) (states/eV per cell): 13.287
# E (eV for the cell shown): -139.55
data_LaAlCuPt3
_space_group_name_H-M_alt 'C m c m'
_space_group_IT_number 63
_space_group_name_Hall '-C 2c 2'
_cell_length_a 6.9010
_cell_length_b 11.7613
_cell_length_c 5.7758
_cell_angle_alpha 90.00
_cell_angle_beta 90.00
_cell_angle_gamma 90.00
loop_
_atom_site_label
_atom_site_fract_x
_atom_site_fract_y
_atom_site_fract_z
La1 0.0000 0.2170 0.2500
Al1 0.0000 0.1201 0.7500
Cu1 0.0000 0.4592 0.2500
Pt1 0.0000 0.3225 0.7500
Pt2 0.2101 0.0000 0.0000